# NaHgN2

A relaxed NaHgN2 crystal (GGA-PBE, Alexandria).

Unit cell a=5.1577 b=5.1577 c=6.8453 alpha=67.87 beta=67.87 gamma=90.00
Last column: nearest neighbours and their distance in Å.
Positions (direct):
N 0.3750 0.3371 0.7500  2 Hg 2.23, 2 Na 2.44
N 0.8750 0.9129 0.7500  2 Hg 2.23, 2 Na 2.44
N 0.6629 0.1250 0.2500  2 Hg 2.23, 2 Na 2.44
N 0.0871 0.6250 0.2500  2 Hg 2.23, 2 Na 2.44
Na 0.5000 0.5000 0.0000  4 N 2.44
Na 0.2500 0.7500 0.5000  4 N 2.44
Hg 0.0000 0.0000 0.0000  4 N 2.23
Hg 0.7500 0.2500 0.5000  4 N 2.23

Computed properties:
The density of states at the Fermi level is 1.3 states/eV/f.u. The value obtained for the volume is 19.26 Å³ per atom. Its total magnetic moment is 0.750 μB per atom. The calculation puts the formation energy without anion corrections at 1.46 eV per atom.

# TlFeTe2

A relaxed TlFeTe2 crystal (GGA-PBE, Alexandria).

Unit cell a=9.3481 b=9.3481 c=9.3481 alpha=22.66 beta=22.66 gamma=22.66
Last column: nearest neighbours and their distance in Å.
Positions (direct):
Fe 0.0000 0.0000 0.0000  6 Te 2.65
Te 0.2752 0.2752 0.2752  3 Fe 2.65
Te 0.7248 0.7248 0.7248  3 Fe 2.65
Tl 0.5000 0.5000 0.5000  6 Te 3.65, 6 Tl 3.67

Computed properties:
The density of states at the Fermi level is 3.6 states/eV/f.u. The value obtained for the volume is 26.60 Å³ per atom. Its total magnetic moment is 0.627 μB per atom. The calculation puts the formation energy without anion corrections at -0.04 eV per atom.

# CaBiAu5

A relaxed CaBiAu5 crystal (GGA-PBE, Alexandria).

Unit cell a=5.7003 b=9.4619 c=11.5913 alpha=90.00 beta=90.00 gamma=90.00
Last column: nearest neighbours and their distance in Å.
Positions (direct):
Au 0.2500 0.8885 0.1022  1 Bi 2.79, 5 Au 2.86-3.01
Au 0.0050 0.5982 0.8179  7 Au 2.79-2.94, 1 Bi 3.12
Au 0.2500 0.5872 0.0292  6 Au 2.82-2.97
Au 0.2500 0.1482 0.2278  7 Au 2.85-3.01, 2 Bi 3.05
Au 0.2500 0.0872 0.4708  6 Au 2.82-2.97
Au 0.0050 0.0982 0.6821  7 Au 2.79-2.94, 1 Bi 3.12
Au 0.7500 0.9128 0.5292  6 Au 2.82-2.97
Au 0.9950 0.9018 0.3179  7 Au 2.79-2.94, 1 Bi 3.12
Au 0.7500 0.3518 0.7278  7 Au 2.85-3.01, 2 Bi 3.05
Au 0.2500 0.3885 0.3978  1 Bi 2.79, 5 Au 2.86-3.01
Au 0.7500 0.6115 0.6022  1 Bi 2.79, 5 Au 2.86-3.01
Au 0.4950 0.0982 0.6821  7 Au 2.79-2.94, 1 Bi 3.12
Au 0.4950 0.5982 0.8179  7 Au 2.79-2.94, 1 Bi 3.12
Au 0.7500 0.8518 0.7722  7 Au 2.85-3.01, 2 Bi 3.05
Au 0.2500 0.6482 0.2722  7 Au 2.85-3.01, 2 Bi 3.05
Au 0.7500 0.4128 0.9708  6 Au 2.82-2.97
Au 0.5050 0.4018 0.1821  7 Au 2.79-2.94, 1 Bi 3.12
Au 0.7500 0.1115 0.8978  1 Bi 2.79, 5 Au 2.86-3.01
Au 0.9950 0.4018 0.1821  7 Au 2.79-2.94, 1 Bi 3.12
Au 0.5050 0.9018 0.3179  7 Au 2.79-2.94, 1 Bi 3.12
Bi 0.2500 0.3877 0.6381  5 Au 2.79-3.12
Bi 0.2500 0.8877 0.8619  5 Au 2.79-3.12
Bi 0.7500 0.1123 0.1381  5 Au 2.79-3.12
Bi 0.7500 0.6123 0.3619  5 Au 2.79-3.12
Ca 0.7500 0.7283 0.0618  7 Au 3.17-3.41
Ca 0.2500 0.7717 0.5618  7 Au 3.17-3.41
Ca 0.7500 0.2283 0.4382  7 Au 3.17-3.41
Ca 0.2500 0.2717 0.9382  7 Au 3.17-3.41

Computed properties:
As for the formation energy from the elements: -31 kJ/mol of atoms. The density of states at the Fermi level is 1.9 states/eV/f.u. The value obtained for the volume is 22.33 Å³ per atom. Its total magnetic moment is 0.000 μB per atom.

# Ac2PuTe4

A relaxed Ac2PuTe4 crystal (GGA-PBE, Alexandria).

Unit cell a=4.5493 b=8.0853 c=15.6365 alpha=90.00 beta=90.00 gamma=106.34
Last column: nearest neighbours and their distance in Å.
Positions (direct):
Te 0.5000 0.0000 0.5000  4 Ac 3.29
Te 0.5000 0.0000 0.0000  4 Ac 3.29
Te 0.2195 0.4390 0.8733  3 Ac 3.32-3.40, 2 Pu 3.33
Te 0.0205 0.0410 0.2500  2 Pu 3.20, 2 Ac 3.27
Te 0.7805 0.5610 0.3733  3 Ac 3.32-3.40, 2 Pu 3.33
Te 0.7805 0.5610 0.1267  3 Ac 3.32-3.40, 2 Pu 3.33
Te 0.9795 0.9590 0.7500  2 Pu 3.20, 2 Ac 3.27
Te 0.2195 0.4390 0.6267  3 Ac 3.32-3.40, 2 Pu 3.33
Pu 0.3759 0.7518 0.2500  6 Te 3.20-3.33
Pu 0.6241 0.2482 0.7500  6 Te 3.20-3.33
Ac 0.8661 0.7322 0.5736  6 Te 3.27-3.40
Ac 0.8661 0.7322 0.9264  6 Te 3.27-3.40
Ac 0.1339 0.2678 0.4264  6 Te 3.27-3.40
Ac 0.1339 0.2678 0.0736  6 Te 3.27-3.40

Computed properties:
The density of states at the Fermi level is 18.4 states/eV/f.u. The value obtained for the volume is 39.42 Å³ per atom. Its total magnetic moment is 0.822 μB per atom. The calculation puts the formation energy without anion corrections at -1.33 eV per atom.

# La3TePb

A relaxed La3TePb crystal (GGA-PBE, Alexandria).

Unit cell a=4.5513 b=11.2880 c=10.0615 alpha=122.61 beta=63.10 gamma=113.78
Last column: nearest neighbours and their distance in Å.
Positions (direct):
La 0.5499 0.3546 0.0544  3 Te 3.24-3.26, 2 Pb 3.33
La 0.0737 0.9927 0.1688  1 Te 3.26, 3 Pb 3.34-3.52
La 0.0614 0.3731 0.5615  2 Te 3.27, 3 Pb 3.37-3.48
La 0.4501 0.6454 0.9456  3 Te 3.24-3.26, 2 Pb 3.33
La 0.9263 0.0073 0.8312  1 Te 3.26, 3 Pb 3.34-3.52
La 0.9386 0.6269 0.4385  2 Te 3.27, 3 Pb 3.37-3.48
Pb 0.2511 0.7477 0.7468  8 La 3.33-3.52
Pb 0.7489 0.2523 0.2532  8 La 3.33-3.52
Te 0.2746 0.2969 0.7721  6 La 3.24-3.27
Te 0.7254 0.7031 0.2279  6 La 3.24-3.27

Computed properties:
The density of states at the Fermi level is 4.7 states/eV/f.u. The value obtained for the volume is 37.95 Å³ per atom. Its total magnetic moment is 0.296 μB per atom. The calculation puts the formation energy without anion corrections at -0.82 eV per atom.

# NaCe4Hg7

A relaxed NaCe4Hg7 crystal (GGA-PBE, Alexandria).

Unit cell a=5.5271 b=10.1119 c=7.0614 alpha=81.21 beta=66.96 gamma=74.14
Last column: nearest neighbours and their distance in Å.
Positions (direct):
Hg 0.6336 0.4684 0.2644  5 Ce 3.14-3.26, 4 Hg 3.15-3.36
Hg 0.7953 0.9158 0.4936  4 Ce 3.13-3.22, 4 Hg 3.22-3.43, 1 Na 3.27
Hg 0.3664 0.5316 0.7356  5 Ce 3.14-3.26, 4 Hg 3.15-3.36
Hg 0.2047 0.0842 0.5064  4 Ce 3.13-3.22, 4 Hg 3.22-3.43, 1 Na 3.27
Hg 0.0735 0.6610 0.1920  4 Hg 3.24-3.36, 5 Ce 3.26-3.55, 1 Na 3.47
Hg 0.9265 0.3390 0.8080  4 Hg 3.24-3.36, 5 Ce 3.26-3.55, 1 Na 3.47
Hg 0.5000 0.0000 0.0000  2 Na 2.76
Ce 0.7389 0.6724 0.8498  8 Hg 3.19-3.55
Ce 0.2611 0.3276 0.1502  8 Hg 3.19-3.55
Ce 0.5814 0.2227 0.6145  8 Hg 3.13-3.26
Ce 0.4186 0.7773 0.3855  8 Hg 3.13-3.26
Na 0.0000 0.0000 0.0000  2 Hg 2.76

Computed properties:
As for the formation energy from the elements: -17 kJ/mol of atoms. The density of states at the Fermi level is 32.9 states/eV/f.u. The value obtained for the volume is 29.07 Å³ per atom. Its total magnetic moment is 0.356 μB per atom.

Please write out number 2 again, unchanged.
# TlFeTe2

A relaxed TlFeTe2 crystal (GGA-PBE, Alexandria).

Unit cell a=9.3481 b=9.3481 c=9.3481 alpha=22.66 beta=22.66 gamma=22.66
Last column: nearest neighbours and their distance in Å.
Positions (direct):
Fe 0.0000 0.0000 0.0000  6 Te 2.65
Te 0.2752 0.2752 0.2752  3 Fe 2.65
Te 0.7248 0.7248 0.7248  3 Fe 2.65
Tl 0.5000 0.5000 0.5000  6 Te 3.65, 6 Tl 3.67

Computed properties:
The density of states at the Fermi level is 3.6 states/eV/f.u. The value obtained for the volume is 26.60 Å³ per atom. Its total magnetic moment is 0.627 μB per atom. The calculation puts the formation energy without anion corrections at -0.04 eV per atom.